Computed, not measured: an optimized crystal structure of Tb5Y12Ho at the GGA-PBE level of DFT.

Lattice parameters (Å, degrees): 15.1139 10.6911 5.0406 90.00 90.00 45.10
Closest atoms and distances in Å follow each position.
Fractional positions:
Y  0.1672  0.3335  0.5000  4 Tb 3.56, 8 Y 3.57-3.58
Y  0.0007  0.6670  0.0000  1 Ho 3.55, 3 Tb 3.55-3.56, 8 Y 3.56-3.59
Y  0.8343  0.0000  0.4999  2 Tb 3.55-3.56, 2 Ho 3.55, 8 Y 3.56-3.59
Y  0.6660  0.0000  0.9999  4 Tb 3.56, 8 Y 3.57-3.58
Y  0.9993  0.3330  0.0000  1 Ho 3.55, 3 Tb 3.55-3.56, 8 Y 3.56-3.59
Y  0.8328  0.6665  0.5000  4 Tb 3.56, 8 Y 3.57-3.58
Y  0.4993  0.3335  0.5000  4 Tb 3.56, 8 Y 3.57-3.59
Y  0.6677  0.3330  0.0000  3 Tb 3.55-3.56, 1 Ho 3.56, 8 Y 3.56-3.59
Y  0.3340  0.0000  0.0001  4 Tb 3.56, 8 Y 3.57-3.58
Y  0.5007  0.6665  0.5000  4 Tb 3.56, 8 Y 3.57-3.59
Y  0.1657  0.0000  0.5001  2 Tb 3.55-3.56, 2 Ho 3.55, 8 Y 3.56-3.59
Y  0.3323  0.6670  0.0000  3 Tb 3.55-3.56, 1 Ho 3.56, 8 Y 3.56-3.59
Ho  0.0000  0.0000  0.0000  8 Y 3.55-3.56, 4 Tb 3.56
Tb  0.5000  0.0000  0.5000  8 Y 3.56, 4 Tb 3.57
Tb  0.6667  0.6666  0.0000  8 Y 3.56, 4 Tb 3.57
Tb  0.8336  0.3328  0.5000  8 Y 3.55-3.56, 2 Ho 3.56, 2 Tb 3.57
Tb  0.3333  0.3334  0.0000  8 Y 3.56, 4 Tb 3.57
Tb  0.1664  0.6672  0.5000  8 Y 3.55-3.56, 2 Ho 3.56, 2 Tb 3.57

## Properties
As for the space group: P2/m, No. 10. The total magnetization comes out at 0.000 Bohr magnetons per cell. The density of states at the Fermi level is 1.458 states/eV per atom. The energy is -5.8277 eV per atom. Its volume is 576.9 Å³/cell. The value obtained for the formation energy is 0.0222 eV per atom.